# 1
First-principles (SCAN) data for La2InIr at its PBEsol-relaxed geometry, as listed in the Alexandria database.

Unit cell a=7.111 b=7.111 c=7.111 alpha=90.00 beta=90.00 gamma=90.00
Space group F-43m (No. 216)
Symmetry-distinct sites (fractional):
1 La 0.000 0.000 0.000 [4 per cell]
2 La 0.250 0.250 0.250 [4 per cell]
3 In 0.250 0.250 0.750 [4 per cell]
4 Ir 0.000 0.000 0.500 [4 per cell]

---

# 2
First-principles (SCAN) data for La3InIr at its PBEsol-relaxed geometry, as listed in the Alexandria database.

Unit cell a=5.885 b=7.460 c=7.176 alpha=90.00 beta=111.07 gamma=90.00
Space group P2_1/m (No. 11)
Symmetry-distinct sites (fractional):
1 La 0.156 0.250 0.146 [2 per cell]
2 La 0.305 0.019 0.710 [4 per cell]
3 In 0.214 0.750 0.317 [2 per cell]
4 Ir 0.378 0.750 0.989 [2 per cell]

---

# 3
First-principles (SCAN) data for La2InIr2 at its PBEsol-relaxed geometry, as listed in the Alexandria database.

Unit cell a=5.619 b=5.619 c=7.941 alpha=90.00 beta=90.00 gamma=90.00
Space group I4/mmm (No. 139)
Symmetry-distinct sites (fractional):
1 La 0.000 0.500 0.250 [4 per cell]
2 In 0.000 0.000 0.000 [2 per cell]
3 Ir 0.000 0.000 0.333 [4 per cell]

---

# 4
First-principles (SCAN) data for LaInIr2 at its PBEsol-relaxed geometry, as listed in the Alexandria database.

Unit cell a=6.783 b=6.783 c=6.783 alpha=90.00 beta=90.00 gamma=90.00
Space group F-43m (No. 216)
Symmetry-distinct sites (fractional):
1 La 0.000 0.000 0.000 [4 per cell]
2 In 0.250 0.250 0.250 [4 per cell]
3 Ir 0.000 0.000 0.500 [4 per cell]
4 Ir 0.250 0.250 0.750 [4 per cell]

---

# 5
First-principles (SCAN) data for LaIn2Ir2 at its PBEsol-relaxed geometry, as listed in the Alexandria database.

Unit cell a=4.295 b=4.295 c=11.668 alpha=90.00 beta=90.00 gamma=90.00
Space group I4/mmm (No. 139)
Symmetry-distinct sites (fractional):
1 La 0.000 0.000 0.000 [2 per cell]
2 In 0.000 0.500 0.250 [4 per cell]
3 Ir 0.000 0.000 0.396 [4 per cell]

---

# 6
First-principles (SCAN) data for La3InIr at its PBEsol-relaxed geometry, as listed in the Alexandria database.

Unit cell a=5.731 b=5.731 c=5.731 alpha=90.00 beta=90.00 gamma=90.00
Space group Pm-3m (No. 221)
Symmetry-distinct sites (fractional):
1 La 0.000 0.000 0.500 [3 per cell]
2 In 0.000 0.000 0.000 [1 per cell]
3 Ir 0.500 0.500 0.500 [1 per cell]

---

# 7
First-principles (SCAN) data for La2InIr at its PBEsol-relaxed geometry, as listed in the Alexandria database.

Unit cell a=4.0784 b=4.0784 c=24.6448 alpha=90.00 beta=90.00 gamma=120.00
Space group R-3m (No. 166, hexagonal axes)
Symmetry-distinct sites (fractional):
1 La 0.0000 0.0000 0.2318 [6 per cell]
2 In 0.0000 0.0000 0.0000 [3 per cell]
3 Ir 0.0000 0.0000 0.5000 [3 per cell]

---

# 8
First-principles (SCAN) data for LiInIr2 at its PBEsol-relaxed geometry, as listed in the Alexandria database.

Unit cell a=7.021 b=7.021 c=5.021 alpha=90.00 beta=90.00 gamma=90.00
Space group I-42d (No. 122)
Symmetry-distinct sites (fractional):
1 Li 0.000 0.000 0.000 [4 per cell]
2 In 0.000 0.000 0.500 [4 per cell]
3 Ir 0.210 0.250 0.125 [8 per cell]

---

Values of ΔH_f (0 K), in order: -549.0; -717.4; -620.0; 145.7; -597.7; 874.3; -691.7; 411.9, all in meV per atom.